(1)
VASP calculation (GGA-PBE) on a relaxed structure of Pm3Eu.

Output
Its crystal system is cubic.

a = 8.299 Å, b = 8.299 Å, c = 8.299 Å
α = 90.00°, β = 90.00°, γ = 90.00°
Space group Fm-3m (No. 225)
Inequivalent atoms, fractional coordinates:
Pm 0.000 0.000 0.000 [4 per cell]
Pm 0.250 0.250 0.250 [8 per cell]
Eu 0.000 0.000 0.500 [4 per cell]



(2)
VASP calculation (GGA-PBE) on a relaxed structure of PmEu3.

Output
Its crystal system is cubic.

a = 8.582 Å, b = 8.582 Å, c = 8.582 Å
α = 90.00°, β = 90.00°, γ = 90.00°
Space group Fm-3m (No. 225)
Inequivalent atoms, fractional coordinates:
Pm 0.000 0.000 0.000 [4 per cell]
Eu 0.000 0.000 0.500 [4 per cell]
Eu 0.250 0.250 0.250 [8 per cell]



(3)
VASP calculation (GGA-PBE) on a relaxed structure of Pm3Eu.

Output
Its crystal system is cubic.

a = 5.215 Å, b = 5.215 Å, c = 5.215 Å
α = 90.00°, β = 90.00°, γ = 90.00°
Space group Pm-3m (No. 221)
Inequivalent atoms, fractional coordinates:
Pm 0.000 0.000 0.500 [3 per cell]
Eu 0.500 0.500 0.500 [1 per cell]



(4)
VASP calculation (GGA-PBE) on a relaxed structure of PmEu3.

Output
Its crystal system is orthorhombic.

a = 4.187 Å, b = 12.263 Å, c = 6.133 Å
α = 90.00°, β = 90.00°, γ = 90.00°
Space group Imm2 (No. 44)
Inequivalent atoms, fractional coordinates:
Pm 0.000 0.000 0.000 [2 per cell]
Eu 0.000 0.252 0.498 [4 per cell]
Eu 0.000 0.500 0.000 [2 per cell]



(5)
VASP calculation (GGA-PBE) on a relaxed structure of Pm3Eu.

Output
Its crystal system is tetragonal.

a = 5.209 Å, b = 5.209 Å, c = 10.453 Å
α = 90.00°, β = 90.00°, γ = 90.00°
Space group I4/mmm (No. 139)
Inequivalent atoms, fractional coordinates:
Pm 0.000 0.000 0.000 [2 per cell]
Pm 0.000 0.500 0.250 [4 per cell]
Eu 0.000 0.000 0.500 [2 per cell]



(6)
VASP calculation (GGA-PBE) on a relaxed structure of PmPrEu2.

Output
Its crystal system is cubic.

a = 8.449 Å, b = 8.449 Å, c = 8.449 Å
α = 90.00°, β = 90.00°, γ = 90.00°
Space group Fm-3m (No. 225)
Inequivalent atoms, fractional coordinates:
Pm 0.000 0.000 0.000 [4 per cell]
Pr 0.000 0.000 0.500 [4 per cell]
Eu 0.250 0.250 0.250 [8 per cell]



(7)
VASP calculation (GGA-PBE) on a relaxed structure of PmPrEu2.

Output
Its crystal system is trigonal.

a = 3.7404 Å, b = 3.7404 Å, c = 37.2116 Å
α = 90.00°, β = 90.00°, γ = 120.00°
Space group R-3m (No. 166, hexagonal axes)
Inequivalent atoms, fractional coordinates:
Pm 0.0000 0.0000 0.0000 [3 per cell]
Pr 0.0000 0.0000 0.5000 [3 per cell]
Eu 0.0000 0.0000 0.2506 [6 per cell]



(8)
VASP calculation (GGA-PBE) on a relaxed structure of PmPrEu.

Output
Its crystal system is tetragonal.

a = 3.744 Å, b = 3.744 Å, c = 15.889 Å
α = 90.00°, β = 90.00°, γ = 90.00°
Space group I4mm (No. 107)
Inequivalent atoms, fractional coordinates:
Pm 0.000 0.000 0.000 [2 per cell]
Pr 0.000 0.000 0.347 [2 per cell]
Eu 0.000 0.000 0.672 [2 per cell]



(9)
VASP calculation (GGA-PBE) on a relaxed structure of Pm2PrEu.

Output
Its crystal system is tetragonal.

a = 5.237 Å, b = 5.237 Å, c = 5.248 Å
α = 90.00°, β = 90.00°, γ = 90.00°
Space group P4/mmm (No. 123)
Inequivalent atoms, fractional coordinates:
Pm 0.000 0.500 0.000 [2 per cell]
Pr 0.000 0.000 0.500 [1 per cell]
Eu 0.500 0.500 0.500 [1 per cell]



(10)
VASP calculation (GGA-PBE) on a relaxed structure of PmPrEu2.

Output
Its crystal system is tetragonal.

a = 6.052 Å, b = 6.052 Å, c = 4.118 Å
α = 90.00°, β = 90.00°, γ = 90.00°
Space group P4/mmm (No. 123)
Inequivalent atoms, fractional coordinates:
Pm 0.000 0.000 0.000 [1 per cell]
Pr 0.500 0.500 0.000 [1 per cell]
Eu 0.000 0.500 0.500 [2 per cell]



(11)
VASP calculation (GGA-PBE) on a relaxed structure of PmPrEu2.

Output
Its crystal system is tetragonal.

a = 3.730 Å, b = 3.730 Å, c = 10.774 Å
α = 90.00°, β = 90.00°, γ = 90.00°
Space group P4/mmm (No. 123)
Inequivalent atoms, fractional coordinates:
Pm 0.000 0.000 0.000 [1 per cell]
Pr 0.000 0.000 0.500 [1 per cell]
Eu 0.500 0.500 0.248 [2 per cell]



(12)
VASP calculation (GGA-PBE) on a relaxed structure of PmPrEu.

Output
Its crystal system is trigonal.

a = 3.7349 Å, b = 3.7349 Å, c = 9.1863 Å
α = 90.00°, β = 90.00°, γ = 120.00°
Space group P3m1 (No. 156)
Inequivalent atoms, fractional coordinates:
Pm 0.0000 0.0000 0.0000 [1 per cell]
Pr 0.6667 0.3333 0.3157 [1 per cell]
Eu 0.3333 0.6667 0.6603 [1 per cell]



(13)
VASP calculation (GGA-PBE) on a relaxed structure of Pm4PrEu.

Output
Its crystal system is cubic.

a = 9.665 Å, b = 9.665 Å, c = 9.665 Å
α = 90.00°, β = 90.00°, γ = 90.00°
Space group F-43m (No. 216)
Inequivalent atoms, fractional coordinates:
Pm 0.123 0.123 0.377 [16 per cell]
Pr 0.250 0.250 0.750 [4 per cell]
Eu 0.000 0.000 0.000 [4 per cell]



(14)
VASP calculation (GGA-PBE) on a relaxed structure of PmPrEu2.

Output
Its crystal system is tetragonal.

a = 5.269 Å, b = 5.269 Å, c = 5.402 Å
α = 90.00°, β = 90.00°, γ = 90.00°
Space group P4/mmm (No. 123)
Inequivalent atoms, fractional coordinates:
Pm 0.000 0.000 0.000 [1 per cell]
Pr 0.500 0.500 0.000 [1 per cell]
Eu 0.000 0.500 0.500 [2 per cell]



(15)
VASP calculation (GGA-PBE) on a relaxed structure of Pm2PrEu.

Output
Its crystal system is tetragonal.

a = 3.725 Å, b = 3.725 Å, c = 10.500 Å
α = 90.00°, β = 90.00°, γ = 90.00°
Space group P4/mmm (No. 123)
Inequivalent atoms, fractional coordinates:
Pm 0.000 0.000 0.239 [2 per cell]
Pr 0.500 0.500 0.000 [1 per cell]
Eu 0.500 0.500 0.500 [1 per cell]



(16)
VASP calculation (GGA-PBE) on a relaxed structure of Pm2PrEu.

Output
Its crystal system is cubic.

a = 8.342 Å, b = 8.342 Å, c = 8.342 Å
α = 90.00°, β = 90.00°, γ = 90.00°
Space group Fm-3m (No. 225)
Inequivalent atoms, fractional coordinates:
Pm 0.250 0.250 0.250 [8 per cell]
Pr 0.000 0.000 0.000 [4 per cell]
Eu 0.000 0.000 0.500 [4 per cell]



(17)
VASP calculation (GGA-PBE) on a relaxed structure of PmPrEuRu.

Output
Its crystal system is cubic.

a = 7.483 Å, b = 7.483 Å, c = 7.483 Å
α = 90.00°, β = 90.00°, γ = 90.00°
Space group F-43m (No. 216)
Inequivalent atoms, fractional coordinates:
Pm 0.000 0.000 0.000 [4 per cell]
Pr 0.000 0.000 0.500 [4 per cell]
Eu 0.250 0.250 0.750 [4 per cell]
Ru 0.250 0.250 0.250 [4 per cell]



(18)
VASP calculation (GGA-PBE) on a relaxed structure of PmPrEuSc.

Output
Its crystal system is cubic.

a = 8.099 Å, b = 8.099 Å, c = 8.099 Å
α = 90.00°, β = 90.00°, γ = 90.00°
Space group F-43m (No. 216)
Inequivalent atoms, fractional coordinates:
Pm 0.000 0.000 0.000 [4 per cell]
Pr 0.000 0.000 0.500 [4 per cell]
Eu 0.250 0.250 0.250 [4 per cell]
Sc 0.250 0.250 0.750 [4 per cell]



(19)
VASP calculation (GGA-PBE) on a relaxed structure of PmPrSmEu.

Output
Its crystal system is cubic.

a = 8.325 Å, b = 8.325 Å, c = 8.325 Å
α = 90.00°, β = 90.00°, γ = 90.00°
Space group F-43m (No. 216)
Inequivalent atoms, fractional coordinates:
Pm 0.000 0.000 0.000 [4 per cell]
Pr 0.000 0.000 0.500 [4 per cell]
Sm 0.250 0.250 0.750 [4 per cell]
Eu 0.250 0.250 0.250 [4 per cell]



(20)
VASP calculation (GGA-PBE) on a relaxed structure of SrPmPrEu.

Output
Its crystal system is cubic.

a = 8.628 Å, b = 8.628 Å, c = 8.628 Å
α = 90.00°, β = 90.00°, γ = 90.00°
Space group F-43m (No. 216)
Inequivalent atoms, fractional coordinates:
Sr 0.000 0.000 0.000 [4 per cell]
Pm 0.250 0.250 0.250 [4 per cell]
Pr 0.000 0.000 0.500 [4 per cell]
Eu 0.250 0.250 0.750 [4 per cell]



| no. | volume (Å³ per cell) | energy of formation (meV/atom) | D(E_F) (states/eV per cell) |
| --- | --- | --- | --- |
| 1 | 571.7 | 143.7 | 24.92 |
| 2 | 632.0 | 101.1 | 14.60 |
| 3 | 141.8 | 65.9 | 6.04 |
| 4 | 314.9 | 90.7 | 7.47 |
| 5 | 283.7 | 64.8 | 12.50 |
| 6 | 603.2 | 127.3 | 19.60 |
| 7 | 450.9 | 71.0 | 16.48 |
| 8 | 222.7 | 26.3 | 6.34 |
| 9 | 143.9 | 61.8 | 6.13 |
| 10 | 150.8 | 128.7 | 5.28 |
| 11 | 149.9 | 89.7 | 5.29 |
| 12 | 111.0 | 29.7 | 3.36 |
| 13 | 903.0 | 224.3 | 33.74 |
| 14 | 150.0 | 90.8 | 5.22 |
| 15 | 145.7 | 42.1 | 5.50 |
| 16 | 580.5 | 142.1 | 27.09 |
| 17 | 419.0 | 172.9 | 19.08 |
| 18 | 531.3 | 144.2 | 25.84 |
| 19 | 576.9 | 137.6 | 24.77 |
| 20 | 642.2 | 171.0 | 21.38 |